Density functional theory data (PBE-GGA) for an optimized crystal structure of YTiIr2.

```
4
Lattice="3.103 0.000 0.000 0.000 3.103 0.000 0.000 0.000 7.272" Properties=species:S:1:pos:R:3 pbc="T T T"
Y 1.552 1.552 3.636
Ir 0.000 0.000 5.750
Ir 0.000 0.000 1.522
Ti 1.552 1.552 0.000
```

Calculated values
E_form ... -789 meV/atom

=====

Density functional theory data (PBE-GGA) for an optimized crystal structure of BeTeAuI2.

```
5
Lattice="-4.577 1.659 -2.679 -2.669 -4.552 1.740 -1.703 2.765 4.622" Properties=species:S:1:pos:R:3 pbc="T T T"
I -1.334 -2.276 0.870
I -2.288 0.830 -1.339
Be -4.474 -0.064 1.842
Te -0.851 1.383 2.311
Au 0.000 0.000 0.000
```

Calculated values
Uncorrected formation energy ... 840 meV per atom

=====

Density functional theory data (PBE-GGA) for an optimized crystal structure of LaThHgAu.

```
4
Lattice="-0.799 3.621 0.756 -2.240 0.142 -3.047 -6.006 -2.225 4.311" Properties=species:S:1:pos:R:3 pbc="T T T"
La -2.204 -0.817 1.582
Th -5.058 -1.874 3.631
Hg -2.121 1.658 -0.713
Au -5.233 0.505 1.521
```

Calculated values
E_form ... -500 meV/atom

=====

Density functional theory data (PBE-GGA) for an optimized crystal structure of Tb3Nd8Sm4.

```
15
Lattice="-5.459 4.009 -2.055 -5.291 1.352 4.504 2.200 11.630 4.655" Properties=species:S:1:pos:R:3 pbc="T T T"
Tb -1.629 7.820 1.300
Tb 1.100 5.815 2.328
Tb -1.545 6.491 4.579
Nd -2.068 4.366 1.822
Nd -4.764 4.942 4.045
Nd -7.509 6.958 3.012
Nd -4.848 6.278 0.747
Nd -6.481 12.626 5.282
Nd -3.786 12.051 3.059
Nd -1.041 10.035 4.092
Nd -3.701 10.715 6.356
Sm 0.000 0.000 0.000
Sm -1.431 13.336 5.439
Sm -4.275 8.496 3.552
Sm -7.119 3.656 1.664
```

Calculated values
E_form ... 131 meV/atom

=====

Calculated electronic total energy, -8.809; -1.809; -4.482; -4.597 eV/atom (same order as the records).